w:
## TiCoAsSe2 (GGA-PBE)

Data for TiCoAsSe2 after structural relaxation.

* symmetry: P4/mmm, No. 123

Cell and atoms, written as extended XYZ:
```
5
Lattice="4.718 0.000 0.000 0.000 4.718 0.000 0.000 0.000 4.388" Properties=species:S:1:pos:R:3 pbc="T T T"
As 0.000 0.000 2.194
Co 0.000 0.000 0.000
Se 0.000 2.359 0.000
Se 2.359 0.000 0.000
Ti 2.359 2.359 2.194
```

=====

x:
## TiCoAsSe2 (GGA-PBE)

Data for TiCoAsSe2 after structural relaxation.

* symmetry: P4/mmm, No. 123

Cell and atoms, written as extended XYZ:
```
5
Lattice="-0.725 -4.403 -1.973 4.825 -0.676 -0.264 -0.035 -2.002 4.482" Properties=species:S:1:pos:R:3 pbc="T T T"
As -0.018 -1.001 2.241
Co 2.032 -3.541 1.123
Se 2.412 -0.338 -0.132
Se -0.362 -2.202 -0.986
Ti 0.000 0.000 0.000
```

=====

Which structure loses on stability? x does.

=====

w:
## CoAs2WSe (GGA-PBE)

Data for CoAs2WSe after structural relaxation.

* symmetry: P4/mmm, No. 123

Cell and atoms, written as extended XYZ:
```
5
Lattice="-4.044 0.510 -2.746 1.419 -3.788 -2.792 -2.382 -3.060 2.940" Properties=species:S:1:pos:R:3 pbc="T T T"
As 0.709 -1.894 -1.396
As -2.022 0.255 -1.373
Co -2.504 -3.169 -1.299
Se -1.191 -1.530 1.470
W 0.000 0.000 0.000
```

=====

x:
## CoAs2WSe (GGA-PBE)

Data for CoAs2WSe after structural relaxation.

* symmetry: P4/mmm, No. 123

Cell and atoms, written as extended XYZ:
```
5
Lattice="-2.823 -0.659 -3.363 -0.036 -4.351 0.882 -3.558 0.611 2.867" Properties=species:S:1:pos:R:3 pbc="T T T"
As -0.018 -2.176 0.441
As -1.412 -0.329 -1.682
Co 0.000 0.000 0.000
Se -1.779 0.305 1.434
W -3.209 -2.200 0.193
```

=====

Which structure loses on stability? x does.